Here is a relaxed Mg3In2Ag3 crystal from Alexandria. Energies are from PBE.

Computed properties:
- crystal system = orthorhombic
- total moment (μB per formula unit) = 0.00
- total energy (eV/atom) = -2.481

Lattice parameters (Å, degrees): 4.9673 12.3786 5.2036 90.00 90.00 90.00
With the nearest neighbours (Å) after each atom.
Space group Pmmn (No. 59, origin choice 2)
One atom of each set of equivalent atoms:
Mg: 0.2500 0.1217 0.1788 [4 per cell]  6 Ag 2.94-3.16, 3 In 3.01-3.07, 3 Mg 3.07-3.18
Mg: 0.2500 0.7500 0.6581 [2 per cell]  4 Ag 2.97-3.08, 4 In 3.01-3.09, 4 Mg 3.07
In: 0.2500 0.6218 0.1676 [4 per cell]  6 Ag 3.00-3.09, 5 Mg 3.01-3.09, 1 In 3.17
Ag: 0.2500 0.2500 0.6545 [2 per cell]  6 Mg 2.94-3.16, 4 In 3.09, 2 Ag 3.11
Ag: 0.2500 0.5011 0.6671 [4 per cell]  5 Mg 2.96-3.08, 4 In 3.00-3.04, 3 Ag 3.03-3.11